First-principles (GGA-PBE) data for crystalline Y3Hg at its relaxed geometry, as listed in Alexandria.

## Properties
calculated total energy = -0.18580 Ha/atom
formation energy from the elements = -0.530 eV/f.u.
crystal system = tetragonal

Cell lengths 6.0228, 6.0228, 6.0228 Å; angles 133.65, 133.65, 67.63 degrees
Sites, in units of the cell vectors:
Y1 0.0000 0.0000 0.0000
Y2 0.2500 0.7500 0.5000
Y3 0.7500 0.2500 0.5000
Hg1 0.5000 0.5000 0.0000